# 1
Here is an optimized crystal structure of Ti2TcH from the Alexandria database. Energies are from PBE.

Calculated values
total energy: -7.457 eV per atom
crystal system: tetragonal

```
Ti2TcH
1.0
-2.872 2.872 3.132
2.872 -2.872 3.132
2.872 2.872 -3.132
Ti Tc H
4 2 2
direct
0.039 0.125 0.414
0.375 0.961 0.086
0.711 0.625 0.586
0.875 0.289 0.914
0.250 0.750 0.500
0.500 0.500 0.000
0.000 0.000 0.000
0.750 0.250 0.500
```


# 2
Here is an optimized crystal structure of Ti2TcH2 from the Alexandria database. Energies are from PBE.

Calculated values
total energy: -7.050 eV per atom
crystal system: tetragonal

```
Ti2TcH2
1.0
-1.574 1.574 5.192
1.574 -1.574 5.192
1.574 1.574 -5.192
Ti Tc H
2 1 2
direct
0.143 0.143 0.000
0.857 0.857 0.000
0.500 0.500 0.000
0.250 0.750 0.500
0.750 0.250 0.500
```


# 3
Here is an optimized crystal structure of TiTcH2 from the Alexandria database. Energies are from PBE.

Calculated values
total energy: -6.418 eV per atom
crystal system: tetragonal

```
TiTcH2
1.0
-2.005 2.005 4.610
2.005 -2.005 4.610
2.005 2.005 -4.610
Ti Tc H
2 2 4
direct
0.000 0.000 0.000
0.750 0.250 0.500
0.250 0.750 0.500
0.500 0.500 0.000
0.141 0.625 0.016
0.375 0.391 0.516
0.609 0.125 0.984
0.875 0.859 0.484
```


# 4
Here is an optimized crystal structure of TiTcH3 from the Alexandria database. Energies are from PBE.

Calculated values
total energy: -5.667 eV per atom
crystal system: cubic

```
TiTcH3
1.0
3.450 0.000 0.000
0.000 3.450 0.000
0.000 0.000 3.450
Ti Tc H
1 1 3
direct
0.000 0.000 0.000
0.500 0.500 0.500
0.000 0.500 0.500
0.500 0.000 0.500
0.500 0.500 0.000
```


| no. | E above lowest polymorph (eV per atom) |
| --- | --- |
| 1 | 0.161 |
| 2 | 0.000 |
| 3 | 0.000 |
| 4 | 0.000 |